# 1
TiMn2CoSb: relaxed, PBE. Values from VASP.

Quantum ESPRESSO input file:
```
&SYSTEM
  ibrav = 0, nat = 5, ntyp = 4
/
ATOMIC_SPECIES
Ti 47.87 Ti.upf
Mn 54.94 Mn.upf
Co 58.93 Co.upf
Sb 121.76 Sb.upf
ATOMIC_POSITIONS crystal
Ti 0.000 0.000 0.000
Mn 0.000 0.500 0.500
Mn 0.500 0.000 0.500
Co 0.500 0.500 0.500
Sb 0.500 0.500 0.000
CELL_PARAMETERS angstrom
4.227 0.000 0.000
0.000 4.227 0.000
0.000 0.000 4.627
```

Properties
symmetry: P4/mmm, No. 123
formation energy from raw total energies: 0.933 eV per atom

***

# 2
V3Te2Se2: relaxed, PBE. Values from VASP.

Quantum ESPRESSO input file:
```
&SYSTEM
  ibrav = 0, nat = 7, ntyp = 3
/
ATOMIC_SPECIES
V 50.94 V.upf
Te 127.60 Te.upf
Se 78.96 Se.upf
ATOMIC_POSITIONS crystal
V 0.000 0.000 0.000
V 0.273 0.273 0.879
V 0.727 0.727 0.121
Te 0.125 0.125 0.324
Te 0.875 0.875 0.676
Se 0.384 0.384 0.170
Se 0.616 0.616 0.830
CELL_PARAMETERS angstrom
6.074 -1.673 0.000
6.074 1.673 0.000
-0.806 0.000 7.719
```

Properties
polymorph energy (0 for the lowest one): 10.7 kJ per mole of atoms
symmetry: C2/m, No. 12
formation energy from raw total energies: -0.402 eV per atom

***

# 3
AcPm2UO8: relaxed, PBE. Values from VASP.

Quantum ESPRESSO input file:
```
&SYSTEM
  ibrav = 0, nat = 12, ntyp = 4
/
ATOMIC_SPECIES
Ac 227.00 Ac.upf
Pm 145.00 Pm.upf
U 238.03 U.upf
O 16.00 O.upf
ATOMIC_POSITIONS crystal
Ac 0.000 0.000 0.000
Pm 0.500 0.267 0.500
Pm 0.500 0.733 0.500
U 0.000 0.500 0.000
O 0.001 0.286 0.761
O 0.001 0.714 0.761
O 0.498 0.500 0.224
O 0.500 0.000 0.277
O 0.500 0.000 0.723
O 0.502 0.500 0.776
O 0.999 0.286 0.239
O 0.999 0.714 0.239
CELL_PARAMETERS angstrom
4.007 0.000 0.000
0.000 7.911 0.000
-0.012 0.000 5.506
```

Properties
symmetry: P2/m, No. 10
formation energy from raw total energies: -3.203 eV per atom

***

# 4
Tm5CSe4: relaxed, PBE. Values from VASP.

Quantum ESPRESSO input file:
```
&SYSTEM
  ibrav = 0, nat = 10, ntyp = 3
/
ATOMIC_SPECIES
Tm 168.93 Tm.upf
C 12.01 C.upf
Se 78.96 Se.upf
ATOMIC_POSITIONS crystal
Tm 0.000 0.000 0.000
Tm 0.208 0.208 0.000
Tm 0.419 0.419 0.000
Tm 0.581 0.581 0.000
Tm 0.792 0.792 0.000
C 0.500 0.500 0.000
Se 0.101 0.101 0.000
Se 0.308 0.308 0.000
Se 0.692 0.692 0.000
Se 0.899 0.899 0.000
CELL_PARAMETERS angstrom
-1.954 1.954 14.229
1.954 -1.954 14.229
1.954 1.954 -14.229
```

Properties
polymorph energy (0 for the lowest one): 5.1 kJ per mole of atoms
symmetry: I4/mmm, No. 139
formation energy from raw total energies: -1.435 eV per atom

***

# 5
AlCrCoCu: relaxed, PBE. Values from VASP.

Quantum ESPRESSO input file:
```
&SYSTEM
  ibrav = 0, nat = 4, ntyp = 4
/
ATOMIC_SPECIES
Al 26.98 Al.upf
Cr 52.00 Cr.upf
Co 58.93 Co.upf
Cu 63.55 Cu.upf
ATOMIC_POSITIONS crystal
Al 0.000 0.000 0.000
Cr 0.500 0.500 0.500
Co 0.750 0.750 0.750
Cu 0.250 0.250 0.250
CELL_PARAMETERS angstrom
0.000 2.911 2.911
2.911 0.000 2.911
2.911 2.911 0.000
```

Properties
energy relative to the elements: -0.056 eV/atom
symmetry: F-43m, No. 216

***

# 6
LaTb2Tm: relaxed, PBE. Values from VASP.

Quantum ESPRESSO input file:
```
&SYSTEM
  ibrav = 0, nat = 4, ntyp = 3
/
ATOMIC_SPECIES
La 138.91 La.upf
Tb 158.93 Tb.upf
Tm 168.93 Tm.upf
ATOMIC_POSITIONS crystal
La 0.000 0.000 0.000
Tb 0.250 0.250 0.250
Tb 0.750 0.750 0.750
Tm 0.500 0.500 0.500
CELL_PARAMETERS angstrom
0.000 4.051 4.051
4.051 0.000 4.051
4.051 4.051 0.000
```

Properties
energy relative to the elements: 0.144 eV/atom
polymorph energy (0 for the lowest one): 13.2 kJ per mole of atoms
symmetry: Fm-3m, No. 225

***

# 7
Tb8Te4AsSe3: relaxed, PBE. Values from VASP.

Quantum ESPRESSO input file:
```
&SYSTEM
  ibrav = 0, nat = 16, ntyp = 4
/
ATOMIC_SPECIES
Tb 158.93 Tb.upf
Te 127.60 Te.upf
As 74.92 As.upf
Se 78.96 Se.upf
ATOMIC_POSITIONS crystal
Tb 0.238 0.238 0.238
Tb 0.243 0.736 0.736
Tb 0.264 0.264 0.757
Tb 0.264 0.757 0.264
Tb 0.736 0.243 0.736
Tb 0.736 0.736 0.243
Tb 0.757 0.264 0.264
Tb 0.762 0.762 0.762
Te 0.000 0.000 0.000
Te 0.000 0.500 0.500
Te 0.500 0.000 0.500
Te 0.500 0.500 0.000
As 0.500 0.500 0.500
Se 0.000 0.000 0.500
Se 0.000 0.500 0.000
Se 0.500 0.000 0.000
CELL_PARAMETERS angstrom
4.213 2.433 7.041
-4.213 2.433 7.041
0.000 -4.865 7.041
```

Properties
symmetry: R-3m, No. 166
formation energy from raw total energies: -1.554 eV per atom

***

# 8
Sc4InAu3: relaxed, PBE. Values from VASP.

Quantum ESPRESSO input file:
```
&SYSTEM
  ibrav = 0, nat = 8, ntyp = 3
/
ATOMIC_SPECIES
Sc 44.96 Sc.upf
In 114.82 In.upf
Au 196.97 Au.upf
ATOMIC_POSITIONS crystal
Sc 0.119 0.119 0.119
Sc 0.371 0.371 0.371
Sc 0.629 0.629 0.629
Sc 0.881 0.881 0.881
In 0.500 0.500 0.500
Au 0.000 0.000 0.000
Au 0.242 0.242 0.242
Au 0.758 0.758 0.758
CELL_PARAMETERS angstrom
2.434 1.405 7.960
-2.434 1.405 7.960
0.000 -2.810 7.960
```

Properties
energy relative to the elements: -0.707 eV/atom
symmetry: R-3m, No. 166

***

# 9
NaGa2Ge2: relaxed, PBE. Values from VASP.

Quantum ESPRESSO input file:
```
&SYSTEM
  ibrav = 0, nat = 10, ntyp = 3
/
ATOMIC_SPECIES
Na 22.99 Na.upf
Ga 69.72 Ga.upf
Ge 72.64 Ge.upf
ATOMIC_POSITIONS crystal
Na 0.250 0.250 0.246
Na 0.750 0.750 0.754
Ga 0.250 0.250 0.871
Ga 0.250 0.750 0.500
Ga 0.750 0.250 0.500
Ga 0.750 0.750 0.129
Ge 0.250 0.250 0.629
Ge 0.250 0.750 0.000
Ge 0.750 0.250 0.000
Ge 0.750 0.750 0.371
CELL_PARAMETERS angstrom
4.569 0.000 0.000
0.000 4.569 0.000
0.000 0.000 10.360
```

Properties
energy relative to the elements: -0.079 eV/atom
polymorph energy (0 for the lowest one): 0.0 kJ per mole of atoms
symmetry: P4/nmm, No. 129

***

# 10
YCuAsSe2: relaxed, PBE. Values from VASP.

Quantum ESPRESSO input file:
```
&SYSTEM
  ibrav = 0, nat = 5, ntyp = 4
/
ATOMIC_SPECIES
Y 88.91 Y.upf
Cu 63.55 Cu.upf
As 74.92 As.upf
Se 78.96 Se.upf
ATOMIC_POSITIONS crystal
Y 0.000 0.000 0.000
Cu 0.500 0.500 0.500
As 0.000 0.000 0.500
Se 0.000 0.500 0.000
Se 0.500 0.000 0.000
CELL_PARAMETERS angstrom
5.423 0.000 0.000
0.000 5.423 0.000
0.000 0.000 5.503
```

Properties
polymorph energy (0 for the lowest one): 60.0 kJ per mole of atoms
symmetry: P4/mmm, No. 123
formation energy from raw total energies: 0.290 eV per atom

***

# 11
HfTi2Au2: relaxed, PBE. Values from VASP.

Quantum ESPRESSO input file:
```
&SYSTEM
  ibrav = 0, nat = 5, ntyp = 3
/
ATOMIC_SPECIES
Hf 178.49 Hf.upf
Ti 47.87 Ti.upf
Au 196.97 Au.upf
ATOMIC_POSITIONS crystal
Hf 0.000 0.000 0.000
Ti 0.500 0.500 0.000
Ti 0.500 0.500 0.500
Au 0.000 0.500 0.500
Au 0.500 0.000 0.500
CELL_PARAMETERS angstrom
4.933 0.000 0.000
0.000 4.933 0.000
0.000 0.000 4.317
```

Properties
energy relative to the elements: 0.591 eV/atom
polymorph energy (0 for the lowest one): 82.4 kJ per mole of atoms
symmetry: P4/mmm, No. 123

***

# 12
LaBeTl2: relaxed, PBE. Values from VASP.

Quantum ESPRESSO input file:
```
&SYSTEM
  ibrav = 0, nat = 4, ntyp = 3
/
ATOMIC_SPECIES
La 138.91 La.upf
Be 9.01 Be.upf
Tl 204.38 Tl.upf
ATOMIC_POSITIONS crystal
La 0.000 0.000 0.000
Be 0.750 0.250 0.500
Tl 0.250 0.750 0.500
Tl 0.500 0.500 0.000
CELL_PARAMETERS angstrom
-2.388 2.388 4.557
2.388 -2.388 4.557
2.388 2.388 -4.557
```

Properties
energy relative to the elements: 0.159 eV/atom
polymorph energy (0 for the lowest one): 16.7 kJ per mole of atoms
symmetry: I-4m2, No. 119

***

What are the total energy values for these records? In order: -6.560; -6.203; -8.583; -5.987; -6.198; -4.521; -5.599; -5.444; -3.400; -4.146; -5.868; -3.187 eV/atom.